# PBE Ac3BiO4, relaxed
data_Ac3BiO4
_symmetry_space_group_name_H-M 'P 1'
_symmetry_Int_Tables_number 1
_symmetry_space_group_name_Hall 'P 1'
_cell_length_a 4.216
_cell_length_b 4.216
_cell_length_c 11.122
_cell_angle_alpha 90.00
_cell_angle_beta 90.00
_cell_angle_gamma 90.00
loop_
_atom_site_label
_atom_site_fract_x
_atom_site_fract_y
_atom_site_fract_z
Ac1 0.000 0.000 0.000
Ac2 0.500 0.500 0.240
Ac3 0.500 0.500 0.760
Bi1 0.000 0.000 0.500
O1 0.000 0.500 0.140
O2 0.000 0.500 0.860
O3 0.500 0.000 0.860
O4 0.500 0.000 0.140
# DFT total energy = -7.30 eV per atom
# uncorrected formation energy = -2.793 eV per atom
# DOS at the Fermi energy = 0.407 states/eV per atom
# crystal system = tetragonal
# density = 8.02 g/cm³